Entry 1:
Material: Nd4Ir2Cl
Method: DFT, PBE-GGA
State: optimized geometry

Summary:
Formation energy (no corrections) in meV/atom: -903
Uncorrected energy in eV/cell: -179.8

a = 8.587 Å, b = 8.587 Å, c = 12.142 Å
α = 90.00°, β = 90.00°, γ = 90.00°
Space group I-42d (No. 122)
Symmetry-distinct sites (fractional):
Nd 0.001 0.220 0.390
Ir 0.001 0.250 0.625
Cl 0.000 0.000 0.000

Entry 2:
Material: GaCo3H
Method: DFT, PBE-GGA
State: optimized geometry

Summary:
E above lowest polymorph in meV/atom: 150.9
Uncorrected energy in eV/cell: -164.8

a = 4.4653 Å, b = 4.4653 Å, c = 18.3630 Å
α = 90.00°, β = 90.00°, γ = 120.00°
Space group R-3 (No. 148, hexagonal axes)
Symmetry-distinct sites (fractional):
Ga 0.0000 0.0000 0.1667
Co 0.0049 0.6583 0.6121
H 0.0000 0.0000 0.3398

Entry 3:
Material: NdThPt4
Method: DFT, PBE-GGA
State: optimized geometry

Summary:
Uncorrected energy in eV/cell: -170.3
Formation enthalpy at 0 K in meV per atom: -1036

a = 7.815 Å, b = 7.815 Å, c = 7.815 Å
α = 90.00°, β = 90.00°, γ = 90.00°
Space group F-43m (No. 216)
Symmetry-distinct sites (fractional):
Nd 0.000 0.000 0.000
Th 0.250 0.250 0.250
Pt 0.125 0.125 0.625

Entry 4:
Material: NaInC
Method: DFT, PBE-GGA
State: optimized geometry

Summary:
Uncorrected energy in eV/cell: -24.2
Formation enthalpy at 0 K in meV per atom: 393

a = 3.434 Å, b = 6.421 Å, c = 6.641 Å
α = 72.33°, β = 89.99°, γ = 89.76°
Space group P1 (No. 1)
Symmetry-distinct sites (fractional):
Na 0.000 0.000 0.000
Na 0.001 0.468 0.266
In 0.495 0.460 0.733
In 0.506 0.953 0.465
C 0.500 0.682 0.007
C 0.502 0.817 0.822

Entry 5:
Material: SnPb4Au3
Method: DFT, PBE-GGA
State: optimized geometry

Summary:
Uncorrected energy in eV/cell: -116.0
Formation enthalpy at 0 K in meV per atom: -42

a = 12.445 Å, b = 7.668 Å, c = 10.178 Å
α = 90.00°, β = 110.20°, γ = 90.00°
Space group Cc (No. 9)
Symmetry-distinct sites (fractional):
Sn 0.000 0.200 0.000
Pb 0.087 0.322 0.759
Pb 0.163 0.185 0.407
Pb 0.294 0.317 0.133
Pb 0.396 0.181 0.843
Au 0.177 0.011 0.671
Au 0.300 0.488 0.391
Au 0.390 0.027 0.578

Entry 6:
Material: Sb3Mo
Method: DFT, PBE-GGA
State: optimized geometry

Summary:
Formation energy (no corrections) in meV/atom: 192
E above lowest polymorph in meV/atom: 32.9
Uncorrected energy in eV/cell: -89.7

a = 8.309 Å, b = 13.887 Å, c = 4.046 Å
α = 90.00°, β = 90.00°, γ = 90.00°
Space group Cmcm (No. 63)
Symmetry-distinct sites (fractional):
Sb 0.000 0.241 0.250
Sb 0.241 0.097 0.250
Mo 0.000 0.059 0.750

Entry 7:
Material: NbV2Cl
Method: DFT, PBE-GGA
State: optimized geometry

Summary:
Formation energy (no corrections) in meV/atom: 491
E above lowest polymorph in meV/atom: 0.0
Uncorrected energy in eV/cell: -112.8

a = 7.160 Å, b = 7.160 Å, c = 4.934 Å
α = 90.00°, β = 90.00°, γ = 90.00°
Space group I-42d (No. 122)
Symmetry-distinct sites (fractional):
Nb 0.000 0.000 0.000
V 0.160 0.250 0.625
Cl 0.000 0.000 0.500

Copy entry 7 word for word.
Material: NbV2Cl
Method: DFT, PBE-GGA
State: optimized geometry

Summary:
Formation energy (no corrections) in meV/atom: 491
E above lowest polymorph in meV/atom: 0.0
Uncorrected energy in eV/cell: -112.8

a = 7.160 Å, b = 7.160 Å, c = 4.934 Å
α = 90.00°, β = 90.00°, γ = 90.00°
Space group I-42d (No. 122)
Symmetry-distinct sites (fractional):
Nb 0.000 0.000 0.000
V 0.160 0.250 0.625
Cl 0.000 0.000 0.500

Question: The lowest uncorrected energy belongs to which entry?
Answer: Nd4Ir2Cl

Question: Look up the uncorrected energy of the first one.
Answer: -179.8 eV/cell